A plane-wave DFT calculation with PBE was carried out for a geometry-optimized SmHo2PuSb4 structure.

Results
Energy relative to the elements, uncorrected (eV per atom): -0.99
Final energy (eV per atom): -6.580
Space-group type: P2/m
Volume (Å³/atom): 30.3

Lattice parameters (Å, degrees): 7.627 4.417 7.636 90.00 109.49 90.00
Element x y z (fractional)
Sm  0.000  0.000  0.000
Ho  0.500  0.000  0.500
Ho  0.500  0.500  0.000
Pu  0.000  0.500  0.500
Sb  0.254  0.000  0.749
Sb  0.255  0.500  0.254
Sb  0.745  0.500  0.746
Sb  0.746  0.000  0.251